An optimized crystal structure of Si2RuC, computed with PBE-GGA.

It has space group I-42d (No. 122), with a = 5.1779 Å, b = 5.1779 Å, c = 8.3406 Å, α = 90.00°, β = 90.00° and γ = 90.00°. The asymmetric unit holds Si at (0.1815, 0.2500, 0.1250), Ru at (0.0000, 0.0000, 0.5000) and C at (0.0000, 0.0000, 0.0000).

As for the energy relative to the elements, uncorrected: 0.310 eV per atom. As for the volume: 13.98 Å³/atom. The calculation puts the relative energy among the computed polymorphs at 0.000 eV/atom. The total moment comes out at 0.00 μB per cell.

---

An optimized crystal structure of Si3RuC, computed with PBE-GGA.

It has space group Pm-3m (No. 221), with a = 3.9280 Å, b = 3.9280 Å, c = 3.9280 Å, α = 90.00°, β = 90.00° and γ = 90.00°. The asymmetric unit holds Si at (0.0000, 0.0000, 0.5000), Ru at (0.5000, 0.5000, 0.5000) and C at (0.0000, 0.0000, 0.0000).

As for the energy relative to the elements, uncorrected: 0.723 eV per atom. As for the volume: 12.12 Å³/atom. The calculation puts the relative energy among the computed polymorphs at 0.000 eV/atom. The total moment comes out at 0.00 μB per cell.

---

no.,D(E_F) (states/eV per cell)
1,7.3
2,2.4